NdSm12Tl4O3 | PBE | optimized geometry

Output
- DOS(E_F) (states/eV per cell) = 20.7
- V (Å³/cell) = 525.8
- formation energy (no corrections) (eV/f.u.) = -14.6

Lattice parameters (Å, degrees): 8.8067 8.8067 8.8067 109.47 109.47 109.47
Last column: nearest neighbours and their distance in Å.
Positions (direct):
Sm1 0.2735 0.0000 0.2735  1 O 2.30
Sm2 0.7265 0.0000 0.7265  1 O 2.30
Sm3 0.7500 0.5000 0.2500  2 O 2.54
Sm4 0.5000 0.2500 0.7500  2 O 2.54
Sm5 0.7500 0.2500 0.5000  2 O 2.54
Sm6 0.7265 0.7265 0.0000  1 O 2.30
Sm7 0.2735 0.2735 0.0000  1 O 2.30
Sm8 0.0000 0.2735 0.2735  1 O 2.30
Sm9 0.5000 0.7500 0.2500  2 O 2.54
Sm10 0.2500 0.7500 0.5000  2 O 2.54
Sm11 0.0000 0.7265 0.7265  1 O 2.30
Sm12 0.2500 0.5000 0.7500  2 O 2.54
O1 0.5000 0.0000 0.5000  6 Sm 2.30-2.54
O2 0.5000 0.5000 0.0000  6 Sm 2.30-2.54
O3 0.0000 0.5000 0.5000  6 Sm 2.30-2.54
Tl1 0.0000 0.5000 0.0000  12 Sm 3.60
Tl2 0.5000 0.5000 0.5000  12 Sm 3.60
Tl3 0.0000 0.0000 0.5000  12 Sm 3.60
Tl4 0.5000 0.0000 0.0000  12 Sm 3.60
Nd1 0.0000 0.0000 0.0000  6 Sm 2.78

Nd2SmTmO6 | PBE | optimized geometry

Output
- DOS(E_F) (states/eV per cell) = 0.0
- V (Å³/cell) = 158.7
- formation energy (no corrections) (eV/f.u.) = -34.1

Lattice parameters (Å, degrees): 5.9794 5.9794 6.1798 61.07 61.07 60.00
Last column: nearest neighbours and their distance in Å.
Positions (direct):
Nd1 0.0288 0.0288 0.9135  6 O 2.35-2.49
Nd2 0.5310 0.5310 0.4071  6 O 2.36-2.49
O1 0.1974 0.9408 0.2546  1 Tm 2.23, 2 Nd 2.36-2.49, 1 Sm 2.43
O2 0.1219 0.4266 0.7620  1 Sm 2.30, 1 Tm 2.30, 2 Nd 2.35-2.49
O3 0.4266 0.6895 0.7620  1 Sm 2.30, 1 Tm 2.30, 2 Nd 2.35-2.49
O4 0.6895 0.1219 0.7620  1 Sm 2.30, 1 Tm 2.30, 2 Nd 2.35-2.49
O5 0.6071 0.1974 0.2547  1 Tm 2.23, 2 Nd 2.36-2.49, 1 Sm 2.43
O6 0.9408 0.6071 0.2547  1 Tm 2.23, 2 Nd 2.36-2.49, 1 Sm 2.43
Sm1 0.8070 0.8070 0.5789  6 O 2.30-2.43
Tm1 0.3114 0.3114 0.0657  6 O 2.23-2.30

Nd2SmUO8 | PBE | optimized geometry

Output
- DOS(E_F) (states/eV per cell) = 9.3
- V (Å³/cell) = 168.2
- formation energy (no corrections) (eV/f.u.) = -38.2

Lattice parameters (Å, degrees): 3.9474 5.5330 7.7023 90.00 90.00 90.04
Last column: nearest neighbours and their distance in Å.
Positions (direct):
O1 0.5006 0.7783 0.0000  2 U 2.32-2.33, 2 Nd 2.45, 1 O 2.45
O2 0.4999 0.7513 0.5000  2 Nd 2.39, 2 Sm 2.41
O3 0.0004 0.7655 0.7782  1 U 2.14
O4 0.9996 0.2345 0.7782  1 U 2.14
O5 0.9996 0.2345 0.2218  1 U 2.14
O6 0.5001 0.2487 0.5000  2 Nd 2.39, 2 Sm 2.41
O7 0.4994 0.2217 0.0000  2 U 2.32-2.33, 2 Nd 2.45, 1 O 2.45
O8 0.0004 0.7655 0.2218  1 U 2.14
Sm1 0.0000 0.0000 0.5000  8 O 2.41-2.51
U1 0.0000 0.0000 0.0000  8 O 2.14-2.33
Nd1 0.5000 0.5000 0.7520  8 O 2.39-2.47
Nd2 0.5000 0.5000 0.2480  8 O 2.39-2.47